# 1
DFT (PBE) results for CaNd2Ag2 after structural relaxation.

Unit cell a=3.9793 b=8.5431 c=8.5431 alpha=90.00 beta=90.00 gamma=90.00
Last column: nearest neighbours and their distance in Å.
Positions (direct):
Nd: 0.5000 0.3379 0.1621  6 Ag 3.19-3.23
Ag: 0.0000 0.1275 0.3725  1 Ag 3.08, 6 Nd 3.19-3.23, 2 Ca 3.36
Nd: 0.5000 0.6621 0.8379  6 Ag 3.19-3.23
Nd: 0.5000 0.1621 0.6621  6 Ag 3.19-3.23
Ag: 0.0000 0.3725 0.8725  1 Ag 3.08, 6 Nd 3.19-3.23, 2 Ca 3.36
Ca: 0.0000 0.0000 0.0000  4 Ag 3.36
Ag: 0.0000 0.8725 0.6275  1 Ag 3.08, 6 Nd 3.19-3.23, 2 Ca 3.36
Ca: 0.0000 0.5000 0.5000  4 Ag 3.36
Nd: 0.5000 0.8379 0.3379  6 Ag 3.19-3.23
Ag: 0.0000 0.6275 0.1275  1 Ag 3.08, 6 Nd 3.19-3.23, 2 Ca 3.36

Summary:
**Formation energy from the elements**: -0.203 eV per atom
**Relative energy among the computed polymorphs**: 0.00 kJ per mole of atoms
**ρ**: 6.22 Mg/m³
**Calculated total energy**: -36.509 eV for the cell shown
**Total magnetization**: 0.000 μB per cell

# 2
DFT (PBE) results for CaNd3Ag3 after structural relaxation.

Unit cell a=7.5002 b=7.5002 c=7.2263 alpha=90.91 beta=90.91 gamma=94.45
Last column: nearest neighbours and their distance in Å.
Positions (direct):
Ca: 0.7392 0.7392 0.8687  3 Ag 2.97-2.99
Ag: 0.0681 0.0681 0.8167  1 Ca 2.97, 3 Ag 3.02-3.29, 5 Nd 3.10-3.30
Ag: 0.9319 0.9319 0.1833  1 Ca 2.97, 3 Ag 3.02-3.29, 5 Nd 3.10-3.30
Ag: 0.5134 0.0026 0.2701  1 Ca 2.99, 5 Nd 3.02-3.25, 2 Ag 3.29-3.33
Nd: 0.2613 0.7387 0.0000  6 Ag 3.19-3.25
Nd: 0.3604 0.3604 0.6277  3 Ag 3.05-3.30
Nd: 0.7387 0.2613 0.0000  6 Ag 3.19-3.25
Nd: 0.6396 0.6396 0.3723  3 Ag 3.05-3.30
Ag: 0.0026 0.5134 0.2701  1 Ca 2.99, 5 Nd 3.02-3.25, 2 Ag 3.29-3.33
Ca: 0.2608 0.2608 0.1313  3 Ag 2.97-2.99
Nd: 0.8187 0.1813 0.5000  6 Ag 3.02-3.25
Ag: 0.4866 0.9974 0.7299  1 Ca 2.99, 5 Nd 3.02-3.25, 2 Ag 3.29-3.33
Ag: 0.9974 0.4866 0.7299  1 Ca 2.99, 5 Nd 3.02-3.25, 2 Ag 3.29-3.33
Nd: 0.1813 0.8187 0.5000  6 Ag 3.02-3.25

Summary:
**Formation energy from the elements**: -0.130 eV per atom
**ρ**: 6.53 Mg/m³
**Calculated total energy**: -51.536 eV for the cell shown
**Total magnetization**: 0.000 μB per cell

# 3
DFT (PBE) results for CaNd2Ag5 after structural relaxation.

Unit cell a=5.1927 b=5.1927 c=8.0288 alpha=108.87 beta=108.87 gamma=90.00
Last column: nearest neighbours and their distance in Å.
Positions (direct):
Ag: 0.8854 0.3854 0.7708  3 Ag 3.07-3.27, 2 Ca 3.07, 4 Nd 3.09-3.40
Nd: 0.2685 0.2685 0.5371  9 Ag 3.09-3.40
Ag: 0.6146 0.1146 0.2292  2 Ca 3.07, 3 Ag 3.07-3.27, 4 Nd 3.09-3.40
Ag: 0.5000 0.5000 0.0000  8 Ag 3.07, 2 Nd 3.31
Ca: 0.0000 0.0000 0.0000  8 Ag 3.07
Ag: 0.1146 0.6146 0.2292  3 Ag 3.07-3.27, 2 Ca 3.07, 4 Nd 3.09-3.40
Nd: 0.7315 0.7315 0.4629  9 Ag 3.09-3.40
Ag: 0.3854 0.8854 0.7708  2 Ca 3.07, 3 Ag 3.07-3.27, 4 Nd 3.09-3.40

Summary:
**Formation energy from the elements**: -0.209 eV per atom
**ρ**: 7.49 Mg/m³
**Calculated total energy**: -27.463 eV for the cell shown
**Total magnetization**: 0.000 μB per cell

# 4
DFT (PBE) results for CaNdAg after structural relaxation.

Unit cell a=3.6612 b=5.2527 c=5.2527 alpha=120.00 beta=90.00 gamma=90.00
Last column: nearest neighbours and their distance in Å.
Positions (direct):
Ag: 0.3720 0.3333 0.6667  3 Ca 3.14, 3 Nd 3.27
Nd: 0.0373 0.0000 0.0000  3 Ag 3.27, 6 Ca 3.45-3.65, 2 Nd 3.66
Ca: 0.5907 0.6667 0.3333  3 Ag 3.14, 3 Nd 3.45

Summary:
**Formation energy from the elements**: -0.001 eV per atom
**Relative energy among the computed polymorphs**: 13.81 kJ per mole of atoms
**ρ**: 5.55 Mg/m³
**Calculated total energy**: -9.623 eV for the cell shown
**Total magnetization**: 0.000 μB per cell

# 5
DFT (PBE) results for Ca4NdAg2 after structural relaxation.

Unit cell a=5.5830 b=5.5830 c=9.5295 alpha=72.97 beta=72.97 gamma=60.00
Last column: nearest neighbours and their distance in Å.
Positions (direct):
Ag: 0.6070 0.6070 0.1790  1 Nd 2.88, 1 Ca 2.99
Nd: 0.5000 0.5000 0.5000  2 Ag 2.88
Ag: 0.3930 0.3930 0.8210  1 Nd 2.88, 1 Ca 2.99
Ca: 0.2817 0.2817 0.1549  4 Ag 2.99-3.23
Ca: 0.7183 0.7183 0.8451  4 Ag 2.99-3.23
Ca: 0.1083 0.1083 0.6751  3 Ag 3.48, 3 Ca 3.57, 3 Nd 3.59
Ca: 0.8917 0.8917 0.3249  3 Ag 3.48, 3 Ca 3.57, 3 Nd 3.59

Summary:
**Formation energy from the elements**: 0.001 eV per atom
**ρ**: 3.57 Mg/m³
**Calculated total energy**: -18.468 eV for the cell shown
**Total magnetization**: 0.000 μB per cell

# 6
DFT (PBE) results for CaNd4Ag4 after structural relaxation.

Unit cell a=5.9217 b=9.8252 c=9.8252 alpha=90.00 beta=90.00 gamma=90.00
Last column: nearest neighbours and their distance in Å.
Positions (direct):
Nd: 0.3965 0.6611 0.0852  5 Ag 3.07-3.27
Nd: 0.8965 0.4148 0.1611  5 Ag 3.07-3.27
Ag: 0.6063 0.2334 0.6364  1 Ag 2.83, 1 Ca 3.01, 3 Nd 3.07-3.14
Nd: 0.1035 0.1611 0.5852  5 Ag 3.07-3.27
Ag: 0.8937 0.7334 0.1364  1 Ag 2.83, 1 Ca 3.01, 3 Nd 3.07-3.14
Nd: 0.6035 0.9148 0.6611  5 Ag 3.07-3.27
Ag: 0.1063 0.1364 0.2666  1 Ag 2.83, 1 Ca 3.01, 3 Nd 3.07-3.14
Ag: 0.6063 0.7666 0.3636  1 Ag 2.83, 1 Ca 3.01, 3 Nd 3.07-3.14
Ag: 0.3937 0.6364 0.7666  1 Ag 2.83, 1 Ca 3.01, 3 Nd 3.07-3.14
Ca: 0.0000 0.0000 0.0000  4 Ag 3.01
Ag: 0.8937 0.2666 0.8636  1 Ag 2.83, 1 Ca 3.01, 3 Nd 3.07-3.14
Nd: 0.1035 0.8389 0.4148  5 Ag 3.07-3.27
Nd: 0.6035 0.0852 0.3389  5 Ag 3.07-3.27
Ca: 0.5000 0.5000 0.5000  4 Ag 3.01
Ag: 0.1063 0.8636 0.7334  1 Ag 2.83, 1 Ca 3.01, 3 Nd 3.07-3.14
Nd: 0.8965 0.5852 0.8389  5 Ag 3.07-3.27
Nd: 0.3965 0.3389 0.9148  5 Ag 3.07-3.27
Ag: 0.3937 0.3636 0.2334  1 Ag 2.83, 1 Ca 3.01, 3 Nd 3.07-3.14

Summary:
**Formation energy from the elements**: -0.067 eV per atom
**ρ**: 6.09 Mg/m³
**Calculated total energy**: -66.168 eV for the cell shown
**Total magnetization**: 0.000 μB per cell

# 7
DFT (PBE) results for Ca2NdAg after structural relaxation.

Unit cell a=3.6806 b=3.6806 c=11.7900 alpha=81.02 beta=81.02 gamma=60.00
Last column: nearest neighbours and their distance in Å.
Positions (direct):
Ag: 0.5000 0.5000 0.5000  6 Ca 3.09
Nd: 0.0000 0.0000 0.0000  2 Ca 3.56, 6 Nd 3.68
Ca: 0.8976 0.8976 0.3071  3 Ag 3.09
Ca: 0.1024 0.1024 0.6929  3 Ag 3.09

Summary:
**Formation energy from the elements**: 0.124 eV per atom
**Relative energy among the computed polymorphs**: 21.69 kJ per mole of atoms
**ρ**: 4.06 Mg/m³
**Calculated total energy**: -11.127 eV for the cell shown
**Total magnetization**: 0.002 μB per cell

# 8
DFT (PBE) results for Ca2NdAg6 after structural relaxation.

Unit cell a=3.6229 b=8.2908 c=8.2908 alpha=120.00 beta=90.00 gamma=90.00
Last column: nearest neighbours and their distance in Å.
Positions (direct):
Ag: 0.5000 0.0000 0.6660  3 Ag 2.75-2.77
Ag: 0.5000 0.6660 0.0000  3 Ag 2.75-2.77
Ag: 0.5000 0.6660 0.6660  3 Ag 2.75-2.77
Ag: 0.5000 0.0000 0.3340  3 Ag 2.75-2.77
Nd: 0.0000 0.0000 0.0000  12 Ag 3.31, 2 Nd 3.62
Ca: 0.0000 0.6667 0.3333  12 Ag 3.30, 2 Ca 3.62
Ag: 0.5000 0.3340 0.0000  3 Ag 2.75-2.77
Ca: 0.0000 0.3333 0.6667  12 Ag 3.30, 2 Ca 3.62
Ag: 0.5000 0.3340 0.3340  3 Ag 2.75-2.77

Summary:
**Formation energy from the elements**: -0.260 eV per atom
**ρ**: 6.71 Mg/m³
**Calculated total energy**: -28.218 eV for the cell shown
**Total magnetization**: 0.000 μB per cell

# 9
DFT (PBE) results for CaNdAg after structural relaxation.

Unit cell a=3.7039 b=3.7039 c=7.1447 alpha=105.02 beta=105.02 gamma=90.00
Last column: nearest neighbours and their distance in Å.
Positions (direct):
Ag: 0.6673 0.6673 0.3346  4 Nd 3.20, 4 Ca 3.22
Ca: 0.0266 0.0266 0.0533  4 Ag 3.22
Nd: 0.3061 0.3061 0.6121  4 Ag 3.20

Summary:
**Formation energy from the elements**: -0.144 eV per atom
**Relative energy among the computed polymorphs**: 0.00 kJ per mole of atoms
**ρ**: 5.32 Mg/m³
**Calculated total energy**: -10.052 eV for the cell shown
**Total magnetization**: 0.115 μB per cell

# 10
DFT (PBE) results for CaNd2Ag2 after structural relaxation.

Unit cell a=4.8270 b=5.7558 c=11.8610 alpha=109.42 beta=90.00 gamma=90.00
Last column: nearest neighbours and their distance in Å.
Positions (direct):
Ca: 0.2500 0.7980 0.2183  5 Ag 3.16-3.27
Ag: 0.7500 0.6571 0.0210  2 Ag 2.96, 4 Nd 3.07-3.15, 3 Ca 3.16-3.27
Ag: 0.7500 0.1367 0.3624  5 Nd 3.07-3.12, 2 Ca 3.21
Ag: 0.2500 0.3429 0.9790  2 Ag 2.96, 4 Nd 3.07-3.15, 3 Ca 3.16-3.27
Ag: 0.2500 0.8633 0.6376  5 Nd 3.07-3.12, 2 Ca 3.21
Ca: 0.7500 0.2020 0.7817  5 Ag 3.16-3.27
Nd: 0.7500 0.7105 0.4634  4 Ag 3.07-3.12
Nd: 0.7500 0.2217 0.1205  5 Ag 3.07-3.15
Nd: 0.2500 0.7783 0.8795  5 Ag 3.07-3.15
Nd: 0.2500 0.2895 0.5366  4 Ag 3.07-3.12

Summary:
**Formation energy from the elements**: -0.119 eV per atom
**Relative energy among the computed polymorphs**: 8.10 kJ per mole of atoms
**ρ**: 5.82 Mg/m³
**Calculated total energy**: -35.669 eV for the cell shown
**Total magnetization**: 0.000 μB per cell

# 11
DFT (PBE) results for Ca2NdAg3 after structural relaxation.

Unit cell a=3.7342 b=3.7342 c=11.1790 alpha=90.00 beta=90.00 gamma=90.00
Last column: nearest neighbours and their distance in Å.
Positions (direct):
Ag: 0.0000 0.0000 0.0000  8 Ca 3.23
Ag: 0.0000 0.0000 0.3356  4 Nd 3.22, 4 Ca 3.25
Ag: 0.0000 0.0000 0.6644  4 Nd 3.22, 4 Ca 3.25
Ca: 0.5000 0.5000 0.1665  8 Ag 3.23-3.25
Ca: 0.5000 0.5000 0.8335  8 Ag 3.23-3.25
Nd: 0.5000 0.5000 0.5000  8 Ag 3.22

Summary:
**Formation energy from the elements**: -0.296 eV per atom
**ρ**: 5.84 Mg/m³
**Calculated total energy**: -19.102 eV for the cell shown
**Total magnetization**: 0.000 μB per cell

# 12
DFT (PBE) results for CaNd2Ag3 after structural relaxation.

Unit cell a=5.2868 b=5.2868 c=12.9408 alpha=90.00 beta=90.00 gamma=120.00
Last column: nearest neighbours and their distance in Å.
Positions (direct):
Nd: 0.0000 0.0000 0.5000  8 Ag 3.23-3.24
Ag: 0.3333 0.6667 0.9202  7 Nd 3.22-3.27, 1 Ca 3.29
Ca: 0.3333 0.6667 0.6660  8 Ag 3.20-3.29
Ag: 0.6667 0.3333 0.0798  7 Nd 3.22-3.27, 1 Ca 3.29
Ag: 0.3333 0.6667 0.4185  4 Ca 3.20-3.24, 4 Nd 3.22-3.23
Ag: 0.0000 0.0000 0.2496  5 Nd 3.22-3.24, 3 Ca 3.24
Nd: 0.3333 0.6667 0.1696  8 Ag 3.22-3.27
Nd: 0.0000 0.0000 0.0000  8 Ag 3.22-3.23
Ag: 0.0000 0.0000 0.7504  5 Nd 3.22-3.24, 3 Ca 3.24
Nd: 0.6667 0.3333 0.8304  8 Ag 3.22-3.27
Ca: 0.6667 0.3333 0.3340  8 Ag 3.20-3.29
Ag: 0.6667 0.3333 0.5815  4 Ca 3.20-3.24, 4 Nd 3.22-3.23

Summary:
**Formation energy from the elements**: -0.286 eV per atom
**Relative energy among the computed polymorphs**: 0.00 kJ per mole of atoms
**ρ**: 6.91 Mg/m³
**Calculated total energy**: -43.613 eV for the cell shown
**Total magnetization**: 0.000 μB per cell

Question: Which formula does entry 7 have?
Answer: Ca2NdAg

Question: What is the total magnetization in the eleventh record?
Answer: 0.000 μB per cell